# 1
A relaxed structure of CeDySi, computed with GGA-PBE.

Total magnetization, Bohr magnetons per cell: 0.00
Raw formation energy, eV/atom: -0.5854
Distance to the lowest polymorph of the same formula, eV per formula unit: 0.000
Theoretical density, Mg/m³: 7.6
Raw total energy, eV per atom: -5.905

Geometry as CIF:
```
data_CeDySi
_cell_length_a 4.166
_cell_length_b 4.166
_cell_length_c 16.661
_cell_angle_alpha 90.00
_cell_angle_beta 90.00
_cell_angle_gamma 90.00
_symmetry_space_group_name_H-M 'I 4/m m m'
_symmetry_Int_Tables_number 139
_symmetry_space_group_name_Hall '-I 4 2'
loop_
_atom_site_label
_atom_site_type_symbol
_atom_site_fract_x
_atom_site_fract_y
_atom_site_fract_z
_atom_site_occupancy
Ce1 Ce 0.000 0.500 0.000 1
Dy1 Dy 0.000 0.000 0.180 1
Si1 Si 0.000 0.000 0.361 1
```

=====

# 2
A relaxed structure of CeDy2Si, computed with GGA-PBE.

Total magnetization, Bohr magnetons per cell: 0.00
Raw formation energy, eV/atom: -0.2601
Distance to the lowest polymorph of the same formula, eV per formula unit: 0.000
Theoretical density, Mg/m³: 8.4
Raw total energy, eV per atom: -5.400

Geometry as CIF:
```
data_CeDy2Si
_cell_length_a 4.680
_cell_length_b 4.680
_cell_length_c 4.461
_cell_angle_alpha 90.00
_cell_angle_beta 90.00
_cell_angle_gamma 90.00
_symmetry_space_group_name_H-M 'P 4/m m m'
_symmetry_Int_Tables_number 123
_symmetry_space_group_name_Hall '-P 4 2'
loop_
_atom_site_label
_atom_site_type_symbol
_atom_site_fract_x
_atom_site_fract_y
_atom_site_fract_z
_atom_site_occupancy
Ce1 Ce 0.000 0.000 0.000 1
Dy1 Dy 0.000 0.500 0.500 1
Si1 Si 0.500 0.500 0.000 1
```

=====

- Number 1 is which compound?
  CeDySi

=====

- raw formation energy of number 2 (CeDy2Si)?
  -0.2601 eV/atom